(1)
# YSc2CdCl

A geometry-optimized YSc2CdCl structure (PBE, Alexandria).

Cell: 5.419 5.419 5.531 Å, 90.00 90.00 90.00°
Space group P4/mmm (No. 123)
Inequivalent atoms, fractional coordinates:
Y 0.000 0.000 0.000 x1
Sc 0.000 0.500 0.500 x2
Cd 0.500 0.500 0.500 x1
Cl 0.500 0.500 0.000 x1

Calculated values
E_form (uncorrected) in eV per atom: 0.5319
E_tot in eV/cell: -19.2



(2)
# Cd3Se2Cl2

A geometry-optimized Cd3Se2Cl2 structure (PBE, Alexandria).

Cell: 13.517 4.018 6.905 Å, 90.00 100.60 90.00°
Space group C2/m (No. 12)
Inequivalent atoms, fractional coordinates:
Cd 0.000 0.000 0.000 x2
Cd 0.247 0.000 0.760 x4
Se 0.123 0.500 0.897 x4
Cl 0.143 0.000 0.393 x4

Calculated values
E_form (uncorrected) in eV per atom: -0.7326
E_tot in eV/cell: -37.1



(3)
# CdSe2Cl

A geometry-optimized CdSe2Cl structure (PBE, Alexandria).

Cell: 3.1169 3.1169 32.0702 Å, 90.00 90.00 120.00°
Space group R-3m (No. 166, hexagonal axes)
Inequivalent atoms, fractional coordinates:
Cd 0.0000 0.0000 0.0000 x3
Se 0.0000 0.0000 0.0812 x6
Cl 0.0000 0.0000 0.5000 x3

Calculated values
E_form (uncorrected) in eV per atom: 0.3287
E_tot in eV/cell: -25.2
Offset from the most stable computed form in meV/atom: 717



(4)
# Cd2Se2Cl

A geometry-optimized Cd2Se2Cl structure (PBE, Alexandria).

Cell: 8.161 8.161 3.399 Å, 90.00 90.00 90.00°
Space group P4/mbm (No. 127)
Inequivalent atoms, fractional coordinates:
Cd 0.166 0.334 0.000 x4
Se 0.139 0.639 0.500 x4
Cl 0.000 0.000 0.000 x2

Calculated values
E_form (uncorrected) in eV per atom: -0.2327
E_tot in eV/cell: -23.6
Offset from the most stable computed form in meV/atom: 279



(5)
# Cd3SeCl

A geometry-optimized Cd3SeCl structure (PBE, Alexandria).

Cell: 5.341 5.341 5.341 Å, 90.00 90.00 90.00°
Space group Pm-3m (No. 221)
Inequivalent atoms, fractional coordinates:
Cd 0.000 0.000 0.500 x3
Se 0.500 0.500 0.500 x1
Cl 0.000 0.000 0.000 x1

Calculated values
E_form (uncorrected) in eV per atom: 0.3104
E_tot in eV/cell: -6.5
Offset from the most stable computed form in meV/atom: 380



(6)
# CdSe2Cl

A geometry-optimized CdSe2Cl structure (PBE, Alexandria).

Cell: 3.375 3.375 8.540 Å, 90.00 90.00 90.00°
Space group P4mm (No. 99)
Inequivalent atoms, fractional coordinates:
Cd 0.000 0.000 0.000 x1
Se 0.000 0.000 0.578 x1
Se 0.500 0.500 0.751 x1
Cl 0.500 0.500 0.179 x1

Calculated values
E_form (uncorrected) in eV per atom: 0.0044
E_tot in eV/cell: -9.7
Offset from the most stable computed form in meV/atom: 393



(7)
# CdSeCl3

A geometry-optimized CdSeCl3 structure (PBE, Alexandria).

Cell: 5.093 5.093 5.093 Å, 90.00 90.00 90.00°
Space group Pm-3m (No. 221)
Inequivalent atoms, fractional coordinates:
Cd 0.000 0.000 0.000 x1
Se 0.500 0.500 0.500 x1
Cl 0.000 0.500 0.500 x3

Calculated values
E_form (uncorrected) in eV per atom: -0.0957
E_tot in eV/cell: -10.4
Offset from the most stable computed form in meV/atom: 77



(8)
# CdSe2Cl

A geometry-optimized CdSe2Cl structure (PBE, Alexandria).

Cell: 12.022 3.329 4.867 Å, 90.00 99.40 90.00°
Space group C2/m (No. 12)
Inequivalent atoms, fractional coordinates:
Cd 0.000 0.000 0.000 x2
Se 0.204 0.500 0.148 x4
Cl 0.000 0.500 0.500 x2

Calculated values
E_form (uncorrected) in eV per atom: -0.1786
E_tot in eV/cell: -20.9
Offset from the most stable computed form in meV/atom: 210



(9)
# CdSe2Cl

A geometry-optimized CdSe2Cl structure (PBE, Alexandria).

Cell: 7.029 7.029 7.029 Å, 90.00 90.00 90.00°
Space group F-43m (No. 216)
Inequivalent atoms, fractional coordinates:
Cd 0.000 0.000 0.000 x4
Se 0.000 0.000 0.500 x4
Se 0.250 0.250 0.250 x4
Cl 0.250 0.250 0.750 x4

Calculated values
E_form (uncorrected) in eV per atom: 0.2027
E_tot in eV/cell: -35.7
Offset from the most stable computed form in meV/atom: 591



(10)
# CdSe2Cl

A geometry-optimized CdSe2Cl structure (PBE, Alexandria).

Cell: 3.529 7.232 8.732 Å, 90.00 90.00 90.00°
Space group Imm2 (No. 44)
Inequivalent atoms, fractional coordinates:
Cd 0.000 0.000 0.000 x2
Se 0.000 0.000 0.545 x2
Se 0.000 0.500 0.254 x2
Cl 0.000 0.500 0.707 x2

Calculated values
E_form (uncorrected) in eV per atom: -0.1248
E_tot in eV/cell: -20.5
Offset from the most stable computed form in meV/atom: 264



(11)
# CdSe2Cl

A geometry-optimized CdSe2Cl structure (PBE, Alexandria).

Cell: 3.789 3.888 6.654 Å, 90.00 90.00 90.00°
Space group Pmmm (No. 47)
Inequivalent atoms, fractional coordinates:
Cd 0.000 0.000 0.000 x1
Se 0.000 0.500 0.500 x1
Se 0.500 0.000 0.500 x1
Cl 0.500 0.500 0.000 x1

Calculated values
E_form (uncorrected) in eV per atom: -0.1559
E_tot in eV/cell: -10.4
Offset from the most stable computed form in meV/atom: 232



(12)
# CdSeCl3

A geometry-optimized CdSeCl3 structure (PBE, Alexandria).

Cell: 5.222 5.222 5.222 Å, 90.00 90.00 90.00°
Space group Pm-3m (No. 221)
Inequivalent atoms, fractional coordinates:
Cd 0.000 0.000 0.000 x1
Se 0.500 0.500 0.500 x1
Cl 0.000 0.000 0.500 x3

Calculated values
E_form (uncorrected) in eV per atom: -0.1731
E_tot in eV/cell: -10.8
Offset from the most stable computed form in meV/atom: 0



no.,volume (Å³ per cell)
1,162.4
2,368.6
3,269.8
4,226.4
5,152.4
6,97.3
7,132.1
8,192.2
9,347.3
10,222.8
11,98.0
12,142.4